[1]
Here is a relaxed structure of La3BiC from Alexandria via LeMat-Bulk. Energies are from PBE-GGA.

## Properties
crystal system	orthorhombic
uncorrected energy	-27.5	eV per cell
SG	Amm2, No. 38

a b c (Å): 3.622 9.255 9.255
angles (deg): 135.25 90.00 90.00
Last column: magnetic moment on the atom in μB.
Fractional positions:
C 0.000 0.405 0.595  -0.01
La 0.500 0.194 0.327  0.07
Bi 0.500 0.096 0.904  0.01
La 0.500 0.673 0.806  0.07
La 0.000 0.261 0.739  -0.04

=====

[2]
Here is a relaxed structure of La3BiC from Alexandria via LeMat-Bulk. Energies are from PBE-GGA.

## Properties
crystal system	orthorhombic
uncorrected energy	-118.7	eV per cell
SG	Pnma, No. 62

a b c (Å): 5.987 13.608 8.008
angles (deg): 90.00 90.00 90.00
Fractional positions:
La 0.992 0.384 0.093
La 0.029 0.750 0.387
La 0.508 0.884 0.593
Bi 0.000 0.500 0.500
C 0.952 0.750 0.088
La 0.992 0.116 0.093
La 0.492 0.384 0.407
La 0.492 0.116 0.407
Bi 0.500 0.500 0.000
C 0.548 0.250 0.588
La 0.008 0.884 0.907
La 0.471 0.250 0.887
Bi 0.500 0.000 0.000
La 0.529 0.750 0.113
Bi 0.000 0.000 0.500
La 0.008 0.616 0.907
La 0.508 0.616 0.593
La 0.971 0.250 0.613
C 0.048 0.250 0.912
C 0.452 0.750 0.412

=====

[3]
Here is a relaxed structure of LaBi2C2 from Alexandria via LeMat-Bulk. Energies are from PBE-GGA.

## Properties
crystal system	tetragonal
uncorrected energy	-52.4	eV per cell
energy above the lowest structure with this stoichiometry	0.5999	eV/atom
SG	P4/mbm, No. 127

a b c (Å): 7.609 7.609 3.928
angles (deg): 90.00 90.00 90.00
Fractional positions:
C 0.773 0.727 0.000
C 0.273 0.773 0.000
C 0.227 0.273 0.000
La 0.000 0.000 0.000
Bi 0.650 0.850 0.500
Bi 0.150 0.650 0.500
Bi 0.850 0.350 0.500
Bi 0.350 0.150 0.500
C 0.727 0.227 0.000
La 0.500 0.500 0.000

=====

[4]
Here is a relaxed structure of La3BiC from Alexandria via LeMat-Bulk. Energies are from PBE-GGA.

## Properties
crystal system	orthorhombic
uncorrected energy	-60.3	eV per cell
SG	Pmmm, No. 47

a b c (Å): 6.465 7.125 6.465
angles (deg): 90.00 72.86 90.02
Fractional positions:
La 0.361 0.592 0.546
C 0.611 0.593 0.796
La 0.861 0.842 0.546
La 0.861 0.344 0.546
Bi 0.861 0.093 0.046
La 0.861 0.593 0.046
Bi 0.361 0.092 0.546
La 0.361 0.344 0.046
La 0.361 0.842 0.046
C 0.111 0.593 0.296

=====

[5]
Here is a relaxed structure of La3BiC from Alexandria via LeMat-Bulk. Energies are from PBE-GGA.

## Properties
crystal system	tetragonal
uncorrected energy	-52.4	eV per cell
SG	I-4m2, No. 119

a b c (Å): 9.113 9.113 8.407
angles (deg): 57.18 57.18 90.00
Last column: magnetic moment on the atom in μB.
Fractional positions:
La 0.368 0.368 0.263  -0.06
C 0.809 0.309 0.382  0.00
Bi 0.250 0.750 0.500  0.01
La 0.991 0.653 0.018  -0.04
C 0.691 0.191 0.618  0.00
Bi 0.000 0.000 0.000  0.00
La 0.991 0.329 0.018  -0.04
La 0.347 0.009 0.982  -0.04
La 0.671 0.009 0.982  -0.04
La 0.632 0.632 0.737  -0.06

=====

[6]
Here is a relaxed structure of La3BiC from Alexandria via LeMat-Bulk. Energies are from PBE-GGA.

## Properties
crystal system	hexagonal
uncorrected energy	-56.3	eV per cell
SG	P6_3/mmc, No. 194

a b c (Å): 5.455 5.455 10.576
angles (deg): 90.00 90.00 120.00
Last column: magnetic moment on the atom in μB.
Fractional positions:
La 0.667 0.333 0.564  0.40
C 0.000 0.000 0.500  -0.06
La 0.667 0.333 0.936  0.40
La 0.333 0.667 0.064  0.40
La 0.000 0.000 0.250  0.19
La 0.333 0.667 0.436  0.40
Bi 0.333 0.667 0.750  -0.03
Bi 0.667 0.333 0.250  -0.03
La 0.000 0.000 0.750  0.19
C 0.000 0.000 0.000  -0.06

=====

[7]
Here is a relaxed structure of La3BiC from Alexandria via LeMat-Bulk. Energies are from PBE-GGA.

## Properties
crystal system	trigonal
uncorrected energy	-56.8	eV per cell
SG	R-3c, No. 167

a b c (Å): 8.595 8.595 8.595
angles (deg): 54.02 54.02 54.02
Fractional positions:
La 0.250 0.957 0.543
La 0.457 0.750 0.043
Bi 0.000 0.000 0.000
C 0.250 0.250 0.250
La 0.957 0.543 0.250
La 0.043 0.457 0.750
La 0.543 0.250 0.957
La 0.750 0.043 0.457
C 0.750 0.750 0.750
Bi 0.500 0.500 0.500

=====

[8]
Here is a relaxed structure of La3BiC from Alexandria via LeMat-Bulk. Energies are from PBE-GGA.

## Properties
crystal system	trigonal
uncorrected energy	-59.3	eV per cell
SG	R-3m, No. 166

a b c (Å): 8.088 8.088 8.088
angles (deg): 51.23 51.23 51.23
Last column: magnetic moment on the atom in μB.
Fractional positions:
La 0.920 0.920 0.418  0.05
La 0.080 0.582 0.080  0.06
La 0.418 0.920 0.920  0.05
La 0.582 0.080 0.080  0.05
C 0.830 0.830 0.830  0.01
La 0.080 0.080 0.582  0.05
La 0.920 0.418 0.920  0.06
Bi 0.612 0.612 0.612  0.00
C 0.170 0.170 0.170  0.01
Bi 0.388 0.388 0.388  0.00

=====

[9]
Here is a relaxed structure of LaBiC2 from Alexandria via LeMat-Bulk. Energies are from PBE-GGA.

## Properties
crystal system	tetragonal
uncorrected energy	-47.4	eV per cell
SG	I-42d, No. 122

a b c (Å): 6.329 6.329 5.938
angles (deg): 57.80 57.80 90.00
Fractional positions:
C 0.875 0.912 0.750
La 0.500 0.500 0.000
C 0.088 0.625 0.250
La 0.250 0.750 0.500
C 0.662 0.125 0.250
Bi 0.750 0.250 0.500
Bi 0.000 0.000 0.000
C 0.375 0.338 0.750

=====

[10]
Here is a relaxed structure of La3BiC from Alexandria via LeMat-Bulk. Energies are from PBE-GGA.

## Properties
crystal system	monoclinic
uncorrected energy	-119.9	eV per cell
SG	P2_1/c, No. 14

a b c (Å): 24.930 6.832 10.247
angles (deg): 90.00 159.97 90.00
Last column: magnetic moment on the atom in μB.
Fractional positions:
La 0.327 0.427 0.178  0.10
La 0.580 0.207 0.381  0.06
La 0.312 0.938 0.998  0.12
La 0.688 0.062 0.002  0.12
C 0.498 0.242 0.419  -0.01
Bi 0.475 0.281 0.805  -0.01
C 0.998 0.258 0.919  -0.01
C 0.502 0.758 0.581  -0.01
Bi 0.525 0.719 0.195  -0.01
La 0.080 0.293 0.881  0.06
La 0.812 0.562 0.498  0.11
Bi 0.975 0.219 0.305  -0.01
La 0.920 0.707 0.119  0.06
La 0.673 0.573 0.822  0.10
C 0.002 0.742 0.081  -0.01
La 0.827 0.073 0.678  0.09
La 0.173 0.927 0.322  0.09
La 0.420 0.793 0.619  0.06
La 0.188 0.438 0.502  0.11
Bi 0.025 0.781 0.695  -0.01

=====

[11]
Here is a relaxed structure of LaBi3C from Alexandria via LeMat-Bulk. Energies are from PBE-GGA.

## Properties
crystal system	cubic
uncorrected energy	-23.6	eV per cell
energy above the lowest structure with this stoichiometry	0.0000	eV/atom
SG	Pm-3m, No. 221

a b c (Å): 5.111 5.111 5.111
angles (deg): 90.00 90.00 90.00
Fractional positions:
Bi 0.000 0.500 0.000
Bi 0.500 0.000 0.000
Bi 0.000 0.000 0.500
La 0.500 0.500 0.500
C 0.000 0.000 0.000